VASP calculation (PBE) on YTm2NpN4 after structural relaxation.

It has space group P2/m (No. 10), with a = 5.9253 Å, b = 3.4283 Å, c = 5.9288 Å, α = 90.00°, β = 108.98° and γ = 90.00°. Symmetry generates all atoms from Y at (0.0000, 0.0000, 0.0000), Tm at (0.5000, 0.0000, 0.5000), Tm at (0.5000, 0.5000, 0.0000), Np at (0.0000, 0.5000, 0.5000), N at (0.2469, 0.5000, 0.2616) and N at (0.2504, 0.0000, 0.7458).

The uncorrected formation energy comes out at -1.597 eV/atom. Its calculated density is 10.5 g cm⁻³. For the total magnetization, the calculation gives 3.1 μB per formula unit.